Record 1
Below is a relaxed structure of Ni3SbMo, with properties calculated at the PBE level.

abc: 4.533 4.533 4.533
angles: 90.00 90.00 90.00
Element x y z (fractional)
Sb1 0.500 0.500 0.500
Mo1 0.000 0.000 0.000
Ni1 0.000 0.500 0.000
Ni2 0.000 0.000 0.500
Ni3 0.500 0.000 0.000

Summary:
Energy relative to the lowest polymorph listed for this composition = 0.0000 eV/atom
Uncorrected formation energy = 1132 meV/atom
Electronic total energy = -5.33 eV per atom



Record 2
Below is a relaxed structure of Y2Ta2Mn, with properties calculated at the PBE level.

abc: 3.834 3.834 8.940
angles: 77.62 77.62 90.00
Last column: magnetic moment on the atom in μB.
Element x y z (fractional)
Y1 0.401 0.401 0.199  -0.07
Y2 0.599 0.599 0.801  -0.07
Mn1 0.000 0.000 0.000  3.79
Ta1 0.750 0.250 0.500  0.21
Ta2 0.250 0.750 0.500  0.21

Summary:
Energy relative to the lowest polymorph listed for this composition = 0.0000 eV/atom
Electronic total energy = -8.48 eV per atom
ΔE_f = 0.683 eV/atom



Record 3
Below is a relaxed structure of CuPt2Pb, with properties calculated at the PBE level.

abc: 3.173 3.173 6.918
angles: 90.00 90.00 90.08
Element x y z (fractional)
Cu1 0.500 0.500 0.250
Pb1 0.500 0.500 0.750
Pt1 0.000 0.000 0.044
Pt2 0.000 0.000 0.456

Summary:
Electronic total energy = -4.96 eV per atom
ΔE_f = 0.009 eV/atom



Record 4
Below is a relaxed structure of CrSbP, with properties calculated at the PBE level.

abc: 8.154 3.139 8.184
angles: 90.00 95.29 90.00
Element x y z (fractional)
Cr1 0.108 0.000 0.377
Cr2 0.892 0.000 0.623
Cr3 0.108 0.500 0.877
Cr4 0.892 0.500 0.123
Sb1 0.377 0.000 0.856
Sb2 0.623 0.000 0.144
Sb3 0.377 0.500 0.356
Sb4 0.623 0.500 0.644
P1 0.117 0.000 0.096
P2 0.883 0.000 0.904
P3 0.117 0.500 0.596
P4 0.883 0.500 0.404

Summary:
Energy relative to the lowest polymorph listed for this composition = 0.0422 eV/atom
Uncorrected formation energy = -121 meV/atom
Electronic total energy = -6.51 eV per atom



Record 5
Below is a relaxed structure of Mn3ZnBi, with properties calculated at the PBE level.

abc: 5.179 5.179 5.179
angles: 90.00 90.00 90.00
Last column: magnetic moment on the atom in μB.
Element x y z (fractional)
Zn1 0.500 0.500 0.500  0.01
Mn1 0.000 0.500 0.000  3.89
Mn2 0.000 0.000 0.500  4.01
Mn3 0.500 0.000 0.000  3.87
Bi1 0.000 0.000 0.000  -0.11

Summary:
Energy relative to the lowest polymorph listed for this composition = 0.6098 eV/atom
Electronic total energy = -5.26 eV per atom
ΔE_f = 1.273 eV/atom



Record 6
Below is a relaxed structure of AcCe2PrBi4, with properties calculated at the PBE level.

abc: 4.684 8.112 8.119
angles: 70.56 90.00 90.00
Last column: magnetic moment on the atom in μB.
Element x y z (fractional)
Ac1 0.500 0.500 0.000  0.00
Ce1 0.000 0.000 0.000  0.86
Ce2 0.500 0.000 0.500  0.78
Pr1 0.000 0.500 0.500  0.00
Bi1 0.000 0.763 0.739  -0.03
Bi2 0.000 0.237 0.261  -0.03
Bi3 0.500 0.758 0.253  -0.03
Bi4 0.500 0.242 0.747  -0.03

Summary:
Electronic total energy = -5.41 eV per atom
ΔE_f = -0.879 eV/atom



Look up the electronic total energy of the fifth one.
-5.26 eV per atom



Look up the electronic total energy of the second one.
-8.48 eV per atom



What is the electronic total energy in the third record?
-4.96 eV per atom



What did the second record say?
Below is a relaxed structure of Y2Ta2Mn, with properties calculated at the PBE level.

abc: 3.834 3.834 8.940
angles: 77.62 77.62 90.00
Last column: magnetic moment on the atom in μB.
Element x y z (fractional)
Y1 0.401 0.401 0.199  -0.07
Y2 0.599 0.599 0.801  -0.07
Mn1 0.000 0.000 0.000  3.79
Ta1 0.750 0.250 0.500  0.21
Ta2 0.250 0.750 0.500  0.21

Summary:
Energy relative to the lowest polymorph listed for this composition = 0.0000 eV/atom
Electronic total energy = -8.48 eV per atom
ΔE_f = 0.683 eV/atom